Record 1
The following is a DFT calculation (PBE-GGA) of a geometry-optimized RbCuSi2C structure.

- energy relative to the elements, uncorrected (eV per atom) = 3.372
- size of the total moment (Bohr magnetons per cell) = 0.05

a = 5.8224 Å, b = 5.8224 Å, c = 5.1962 Å
α = 90.00°, β = 90.00°, γ = 90.00°
Closest atoms and distances in Å follow each position.
Fractional positions:
Rb 0.0000 0.0000 0.0000  2 Cu 2.60
Cu 0.0000 0.0000 0.5000  2 Rb 2.60
Si 0.0000 0.5000 0.0000  2 Rb 2.91
Si 0.5000 0.0000 0.0000  2 Rb 2.91
C 0.5000 0.5000 0.5000  8 Si 3.90, 4 Cu 4.12

***

Record 2
The following is a DFT calculation (PBE-GGA) of a geometry-optimized RbTlCu2C structure.

- size of the total moment (Bohr magnetons per cell) = 2.04
- energy relative to the elements (eV/atom) = 2.20

a = 5.7838 Å, b = 5.7838 Å, c = 5.3880 Å
α = 90.00°, β = 90.00°, γ = 90.00°
Closest atoms and distances in Å follow each position.
Fractional positions:
Rb 0.0000 0.0000 0.0000  2 C 2.69, 4 Cu 2.89
Tl 0.5000 0.5000 0.5000  8 Cu 3.95, 4 C 4.09
Cu 0.0000 0.5000 0.0000  2 Rb 2.89
Cu 0.5000 0.0000 0.0000  2 Rb 2.89
C 0.0000 0.0000 0.5000  2 Rb 2.69

***

Record 3
The following is a DFT calculation (PBE-GGA) of a geometry-optimized RbVCu2C structure.

- size of the total moment (Bohr magnetons per cell) = 2.48
- energy relative to the elements (eV/atom) = 0.92

a = 4.3734 Å, b = 4.3734 Å, c = 4.1851 Å
α = 90.00°, β = 90.00°, γ = 90.00°
Closest atoms and distances in Å follow each position.
Fractional positions:
Rb 0.0000 0.0000 0.0000  8 Cu 3.03, 4 V 3.09
V 0.5000 0.5000 0.0000  2 C 2.09
Cu 0.0000 0.5000 0.5000  2 C 2.19
Cu 0.5000 0.0000 0.5000  2 C 2.19
C 0.5000 0.5000 0.5000  2 V 2.09, 4 Cu 2.19

***

Record 4
The following is a DFT calculation (PBE-GGA) of a geometry-optimized CuRe2C structure.

- size of the total moment (Bohr magnetons per cell) = 0.00
- energy relative to the elements (eV/atom) = 0.76

a = 8.1122 Å, b = 8.1122 Å, c = 8.1122 Å
α = 19.64°, β = 19.64°, γ = 19.64°
Closest atoms and distances in Å follow each position.
Fractional positions:
Cu 0.0000 0.0000 0.0000  2 Re 2.56, 6 Cu 2.77
Re 0.1073 0.1073 0.1073  3 C 2.14
Re 0.8927 0.8927 0.8927  3 C 2.14
C 0.5000 0.5000 0.5000  6 Re 2.14

***

Record 5
The following is a DFT calculation (PBE-GGA) of a geometry-optimized Cu2ReC structure.

- size of the total moment (Bohr magnetons per cell) = 0.00
- energy relative to the elements (eV/atom) = 0.85

a = 5.1363 Å, b = 5.1363 Å, c = 5.1363 Å
α = 99.80°, β = 99.80°, γ = 131.27°
Closest atoms and distances in Å follow each position.
Fractional positions:
Cu 0.0457 0.6250 0.9207  2 C 2.07
Cu 0.3750 0.2957 0.4207  2 C 2.07
Cu 0.7043 0.1250 0.0793  2 C 2.07
Cu 0.8750 0.9543 0.5793  2 C 2.07
Re 0.2500 0.7500 0.5000  2 C 2.12
Re 0.5000 0.5000 0.0000  2 C 2.12
C 0.0000 0.0000 0.0000  4 Cu 2.07, 2 Re 2.12
C 0.7500 0.2500 0.5000  4 Cu 2.07, 2 Re 2.12

***

Record 6
The following is a DFT calculation (PBE-GGA) of a geometry-optimized Cu3ReC structure.

- size of the total moment (Bohr magnetons per cell) = 0.00
- energy relative to the elements (eV/atom) = 1.00

a = 3.8767 Å, b = 3.8767 Å, c = 3.8767 Å
α = 90.00°, β = 90.00°, γ = 90.00°
Closest atoms and distances in Å follow each position.
Fractional positions:
Cu 0.0000 0.0000 0.5000  2 C 1.94
Cu 0.0000 0.5000 0.0000  2 C 1.94
Cu 0.5000 0.0000 0.0000  2 C 1.94
Re 0.5000 0.5000 0.5000  12 Cu 2.74
C 0.0000 0.0000 0.0000  6 Cu 1.94

***

Ρ for every record listed, in sequence, given in Mg/m³: 2.05 3.95 5.72 14.10 11.65 11.08.